Record 1
A geometry-optimized BeReOsAu structure. Source: OQMD via LeMat-Bulk, functional PBE.

E above lowest polymorph ... 0 meV per atom

Cell: 6.1177 6.1177 6.1177 Å, 90.00 90.00 90.00°
Last column: nearest neighbours and their distance in Å.
Space group F-43m (No. 216)
Unique sites:
Be: 0.0000 0.0000 0.0000 x4  4 Re 2.65, 4 Au 2.65
Re: 0.2500 0.2500 0.2500 x4  4 Os 2.65, 4 Be 2.65
Os: 0.0000 0.0000 0.5000 x4  4 Au 2.65, 4 Re 2.65
Au: 0.2500 0.2500 0.7500 x4  4 Os 2.65, 4 Be 2.65

Record 2
A geometry-optimized Zr3SiAs structure. Source: OQMD via LeMat-Bulk, functional PBE.

Calculated total energy ... -158.165 eV/cell

Cell: 3.7484 12.3219 9.1119 Å, 90.00 90.00 90.00°
Last column: nearest neighbours and their distance in Å.
Space group Cmcm (No. 63)
Unique sites:
Zr: 0.0000 0.0942 0.2500 x4  2 As 2.56, 2 Si 2.69
Zr: 0.0000 0.3487 0.0546 x8  2 As 2.69, 2 Si 2.85
Si: 0.0000 0.2493 0.7500 x4  6 Zr 2.69-2.85
As: 0.0000 0.0000 0.0000 x4  6 Zr 2.56-2.69

Record 3
A geometry-optimized Hf2NbFe2 structure. Source: OQMD via LeMat-Bulk, functional PBE.

ΔE_f ... 0.307 eV per atom

Cell: 4.1759 4.1759 9.9889 Å, 90.00 90.00 90.00°
Last column: nearest neighbours and their distance in Å.
Space group I4/mmm (No. 139)
Unique sites:
Hf: 0.0000 0.5000 0.2500 x4  4 Fe 2.57
Nb: 0.0000 0.0000 0.0000 x2  8 Fe 3.12, 8 Hf 3.26
Fe: 0.0000 0.0000 0.3995 x4  1 Fe 2.01

Record 4
A geometry-optimized BiPtNO structure. Source: OQMD via LeMat-Bulk, functional PBE.

E above lowest polymorph ... 605 meV per atom

Cell: 4.7663 4.7663 4.9759 Å, 90.00 90.00 90.00°
Last column: nearest neighbours and their distance in Å.
Space group P4/nmm (No. 129, origin choice 2)
Unique sites:
Bi: 0.2500 0.7500 0.0000 x2  4 N 2.46, 2 O 2.49
Pt: 0.2500 0.2500 0.4596 x2  1 N 2.07
N: 0.2500 0.2500 0.8748 x2  1 Pt 2.07
O: 0.2500 0.7500 0.5000 x2  4 Pt 2.39, 2 Bi 2.49

Record 5
A geometry-optimized Na2MoWN6 structure. Source: OQMD via LeMat-Bulk, functional PBE.

Calculated total energy ... -295.682 eV/cell

Cell: 7.9393 7.9393 7.9393 Å, 90.00 90.00 90.00°
Last column: nearest neighbours and their distance in Å.
Space group Fm-3m (No. 225)
Unique sites:
Na: 0.2500 0.2500 0.2500 x8  12 N 2.81
Mo: 0.0000 0.0000 0.0000 x4  6 N 1.99
W: 0.0000 0.0000 0.5000 x4  6 N 1.98
N: 0.0000 0.0000 0.2501 x24  1 W 1.98, 1 Mo 1.99

Record 6
A geometry-optimized Nb4SiC2S structure. Source: OQMD via LeMat-Bulk, functional PBE.

Calculated total energy ... -73.517 eV/cell

Cell: 3.2853 3.2853 11.9792 Å, 90.00 90.00 120.00°
Last column: nearest neighbours and their distance in Å.
Space group P-6m2 (No. 187)
Unique sites:
Nb: 0.0000 0.0000 0.1496 x2  3 C 2.22
Nb: 0.3333 0.6667 0.3436 x2  3 C 2.23
Si: 0.0000 0.0000 0.5000 x1  6 Nb 2.67
C: 0.6667 0.3333 0.2464 x2  6 Nb 2.22-2.23
S: 0.3333 0.6667 0.0000 x1  6 Nb 2.61

Record 7
A geometry-optimized NbBiB structure. Source: OQMD via LeMat-Bulk, functional PBE.

E above lowest polymorph ... 0 meV per atom

Cell: 6.0306 6.0306 6.0306 Å, 90.00 90.00 90.00°
Last column: nearest neighbours and their distance in Å.
Space group F-43m (No. 216)
Unique sites:
Nb: 0.0000 0.0000 0.0000 x4  4 B 2.61
Bi: 0.0000 0.0000 0.5000 x4  4 B 2.61
B: 0.2500 0.2500 0.7500 x4  4 Nb 2.61, 4 Bi 2.61

Record 8
A geometry-optimized Sm5Ge4 structure. Source: OQMD via LeMat-Bulk, functional PBE.

Calculated total energy ... -198.217 eV/cell

Cell: 7.8303 15.0269 7.9186 Å, 90.00 90.00 90.00°
Last column: nearest neighbours and their distance in Å.
Space group Pnma (No. 62)
Unique sites:
Sm: 0.0248 0.1018 0.1785 x8  6 Ge 3.03-3.31
Sm: 0.1211 0.6158 0.3390 x8  6 Ge 2.93-3.14
Sm: 0.2130 0.2500 0.5015 x4  6 Ge 3.04-3.22
Ge: 0.0849 0.2500 0.8876 x4  1 Ge 2.72, 1 Sm 3.04
Ge: 0.1734 0.7500 0.6344 x4  1 Ge 2.72, 1 Sm 3.04
Ge: 0.2206 0.0446 0.5321 x8  6 Sm 2.93-3.19

Record 9
A geometry-optimized Nb4InAsN2 structure. Source: OQMD via LeMat-Bulk, functional PBE.

Calculated total energy ... -69.470 eV/cell

Cell: 3.2722 3.2722 13.0373 Å, 90.00 90.00 120.00°
Last column: nearest neighbours and their distance in Å.
Space group P-6m2 (No. 187)
Unique sites:
Nb: 0.0000 0.0000 0.1455 x2  3 N 2.22
Nb: 0.3333 0.6667 0.3172 x2  3 N 2.17
In: 0.0000 0.0000 0.5000 x1  6 Nb 3.04, 6 In 3.27
As: 0.3333 0.6667 0.0000 x1  6 Nb 2.68
N: 0.6667 0.3333 0.2355 x2  6 Nb 2.17-2.22

Record 10
A geometry-optimized CsHoOs structure. Source: OQMD via LeMat-Bulk, functional PBE.

Calculated total energy ... -53.672 eV/cell

Cell: 7.0288 7.0288 7.0288 Å, 90.00 90.00 90.00°
Last column: nearest neighbours and their distance in Å.
Space group F-43m (No. 216)
Unique sites:
Cs: 0.0000 0.0000 0.0000 x4  4 Os 3.04
Ho: 0.0000 0.0000 0.5000 x4  4 Os 3.04
Os: 0.2500 0.2500 0.2500 x4  4 Ho 3.04, 4 Cs 3.04

Record 11
A geometry-optimized ScNiIrPb structure. Source: OQMD via LeMat-Bulk, functional PBE.

Calculated total energy ... -98.737 eV/cell

Cell: 6.5340 6.5340 6.5340 Å, 90.00 90.00 90.00°
Last column: nearest neighbours and their distance in Å.
Space group F-43m (No. 216)
Unique sites:
Sc: 0.0000 0.0000 0.0000 x4  4 Pb 2.83, 4 Ir 2.83
Ni: 0.0000 0.0000 0.5000 x4  4 Ir 2.83, 4 Pb 2.83
Ir: 0.2500 0.2500 0.7500 x4  4 Ni 2.83, 4 Sc 2.83
Pb: 0.2500 0.2500 0.2500 x4  4 Ni 2.83, 4 Sc 2.83

Record 12
A geometry-optimized ScPaAsO structure. Source: OQMD via LeMat-Bulk, functional PBE.

E above lowest polymorph ... 0 meV per atom

Cell: 4.0835 4.0835 9.0188 Å, 90.00 90.00 90.00°
Last column: nearest neighbours and their distance in Å.
Space group P4/nmm (No. 129, origin choice 2)
Unique sites:
Sc: 0.2500 0.7500 0.0000 x2  4 As 2.76, 4 Sc 2.89
Pa: 0.2500 0.2500 0.3566 x2  4 O 2.42
As: 0.2500 0.2500 0.7946 x2  4 Sc 2.76
O: 0.2500 0.7500 0.5000 x2  4 Pa 2.42